1.
Entry from Alexandria via LeMat-Bulk: an optimized crystal structure of MgFeIr2 (PBE).

The structure belongs to space group I-42d (No. 122); the cell edges are 7.106, 7.106 and 5.133 Å and the angles 90.00°, 90.00° and 90.00°. The distinct sites, in fractional coordinates, are Mg at (0.000, 0.000, 0.000), Fe at (0.000, 0.000, 0.500) and Ir at (0.205, 0.750, 0.625).

The value obtained for the magnetization is 3.17 μB/f.u. Its total energy is -6.64 eV/atom. Its density of states at the Fermi level is 3.488 states/eV/f.u. The calculated volume is 16.20 A^3/atom.


2.
Entry from Alexandria via LeMat-Bulk: an optimized crystal structure of MgFeIr2 (PBE).

The structure belongs to space group P4mm (No. 99); the cell edges are 2.759, 2.759 and 7.713 Å and the angles 90.00°, 90.00° and 90.00°. The distinct sites, in fractional coordinates, are Mg at (0.000, 0.000, 0.000), Fe at (0.500, 0.500, 0.268), Ir at (0.000, 0.000, 0.495) and Ir at (0.500, 0.500, 0.739).

The value obtained for the magnetization is 2.18 μB/f.u. Its total energy is -6.95 eV/atom. Its density of states at the Fermi level is 3.793 states/eV/f.u. The calculated volume is 14.68 A^3/atom.


3.
Entry from Alexandria via LeMat-Bulk: an optimized crystal structure of Mg2FeIr (PBE).

The structure belongs to space group P4/mmm (No. 123); the cell edges are 3.902, 3.902 and 4.030 Å and the angles 90.00°, 90.00° and 90.00°. The distinct sites, in fractional coordinates, are Mg at (0.000, 0.500, 0.000), Fe at (0.000, 0.000, 0.500) and Ir at (0.500, 0.500, 0.500).

The value obtained for the magnetization is 2.98 μB/f.u. Its total energy is -5.18 eV/atom. Its density of states at the Fermi level is 3.040 states/eV/f.u. The calculated volume is 15.34 A^3/atom.


4.
Entry from Alexandria via LeMat-Bulk: an optimized crystal structure of MgFeIr2 (PBE).

The structure belongs to space group F-43m (No. 216); the cell edges are 6.160, 6.160 and 6.160 Å and the angles 90.00°, 90.00° and 90.00°. The distinct sites, in fractional coordinates, are Mg at (0.000, 0.000, 0.000), Fe at (0.250, 0.250, 0.250), Ir at (0.000, 0.000, 0.500) and Ir at (0.250, 0.250, 0.750).

The value obtained for the magnetization is 3.78 μB/f.u. Its total energy is -6.85 eV/atom. Its density of states at the Fermi level is 6.345 states/eV/f.u. The calculated volume is 14.61 A^3/atom.


5.
Entry from Alexandria via LeMat-Bulk: an optimized crystal structure of Mg2FeIr (PBE).

The structure belongs to space group Imm2 (No. 44); the cell edges are 3.082, 4.508 and 9.122 Å and the angles 90.00°, 90.00° and 90.00°. The distinct sites, in fractional coordinates, are Mg at (0.000, 0.000, 0.000), Mg at (0.000, 0.500, 0.220), Fe at (0.000, 0.500, 0.756) and Ir at (0.000, 0.000, 0.470).

The value obtained for the magnetization is 2.88 μB/f.u. Its total energy is -5.20 eV/atom. Its density of states at the Fermi level is 3.438 states/eV/f.u. The calculated volume is 15.84 A^3/atom.


6.
Entry from Alexandria via LeMat-Bulk: an optimized crystal structure of Mg2FeIr (PBE).

The structure belongs to space group I4/mmm (No. 139); the cell edges are 3.891, 3.891 and 8.121 Å and the angles 90.00°, 90.00° and 90.00°. The distinct sites, in fractional coordinates, are Mg at (0.000, 0.500, 0.250), Fe at (0.000, 0.000, 0.000) and Ir at (0.000, 0.000, 0.500).

The value obtained for the magnetization is 2.93 μB/f.u. Its total energy is -5.18 eV/atom. Its density of states at the Fermi level is 3.789 states/eV/f.u. The calculated volume is 15.37 A^3/atom.


7.
Entry from Alexandria via LeMat-Bulk: an optimized crystal structure of Mg2FeIr (PBE).

The structure belongs to space group P4mm (No. 99); the cell edges are 3.048, 3.048 and 7.130 Å and the angles 90.00°, 90.00° and 90.00°. The distinct sites, in fractional coordinates, are Mg at (0.000, 0.000, 0.000), Mg at (0.500, 0.500, 0.334), Fe at (0.000, 0.000, 0.571) and Ir at (0.500, 0.500, 0.763).

The value obtained for the magnetization is 3.02 μB/f.u. Its total energy is -5.21 eV/atom. Its density of states at the Fermi level is 1.376 states/eV/f.u. The calculated volume is 16.56 A^3/atom.


8.
Entry from Alexandria via LeMat-Bulk: an optimized crystal structure of Mg2FeIr2 (PBE).

The structure belongs to space group P4/mbm (No. 127); the cell edges are 6.322, 6.322 and 4.190 Å and the angles 90.00°, 90.00° and 90.00°. The distinct sites, in fractional coordinates, are Mg at (0.171, 0.329, 0.000), Fe at (0.000, 0.000, 0.500) and Ir at (0.137, 0.637, 0.500).

The value obtained for the magnetization is 2.86 μB/f.u. Its total energy is -6.03 eV/atom. Its density of states at the Fermi level is 2.937 states/eV/f.u. The calculated volume is 16.75 A^3/atom.